DFT (PBE-GGA) results for a relaxed NpNbO4F crystal.

Computed properties:
- calculated density (Mg/m³) = 5.52
- density of states at the Fermi level (states/eV/cell) = 20.1
- formation energy (no corrections) (meV per atom) = -2813

Structure (POSCAR):
```
NpNbO4F
1.0
4.8899 -3.6951 0.0000
4.8899 3.6951 0.0000
-2.5274 0.0000 6.8713
Np Nb O F
2 2 8 2
Direct
0.2100 0.2100 0.1404
0.7900 0.7900 0.8596
0.3509 0.3509 0.7283
0.6491 0.6491 0.2717
0.0847 0.4934 0.8344
0.2707 0.2707 0.4576
0.4476 0.4476 0.1945
0.4934 0.0847 0.8344
0.5066 0.9153 0.1656
0.5524 0.5524 0.8055
0.7293 0.7293 0.5424
0.9153 0.5066 0.1656
0.0196 0.0196 0.8380
0.9804 0.9804 0.1620
```



DFT (PBE-GGA) results for a relaxed NbOF crystal.

Computed properties:
- calculated density (Mg/m³) = 5.04
- density of states at the Fermi level (states/eV/cell) = 1.4
- formation energy (no corrections) (meV per atom) = -2275

Structure (POSCAR):
```
NbOF
1.0
4.1968 0.0000 0.0000
0.0000 1.4148 3.5461
0.0000 -1.4148 3.5461
Nb O F
1 1 1
Direct
0.0000 0.0000 0.0000
0.0000 0.7244 0.7244
0.5000 0.0057 0.0057
```



DFT (PBE-GGA) results for a relaxed NbOF crystal.

Computed properties:
- calculated density (Mg/m³) = 5.19
- formation energy (no corrections) (meV per atom) = -2304

Structure (POSCAR):
```
NbOF
1.0
2.5690 -1.4833 0.0000
2.5690 1.4833 0.0000
-1.7514 0.0000 5.3674
Nb O F
1 1 1
Direct
0.0000 0.0000 0.0000
0.5904 0.5904 0.7763
0.7552 0.7552 0.2597
```



DFT (PBE-GGA) results for a relaxed Nb6O15F crystal.

Computed properties:
- calculated density (Mg/m³) = 4.37
- density of states at the Fermi level (states/eV/cell) = 20.6
- formation energy (no corrections) (meV per atom) = -2436

Structure (POSCAR):
```
Nb6O15F
1.0
17.1414 0.0000 0.0000
0.0000 3.9618 0.0000
0.0000 0.0000 9.1391
Nb O F
12 30 2
Direct
0.0602 0.0000 0.1817
0.1264 0.0000 0.6014
0.2500 0.0000 0.3145
0.2500 0.0000 0.9404
0.3736 0.0000 0.6014
0.4398 0.0000 0.1817
0.5602 0.0000 0.8183
0.6264 0.0000 0.3986
0.7500 0.0000 0.0596
0.7500 0.0000 0.6855
0.8736 0.0000 0.3986
0.9398 0.0000 0.8183
0.0000 0.0000 0.0000
0.0195 0.0000 0.6677
0.0656 0.5000 0.1761
0.1278 0.5000 0.5869
0.1352 0.0000 0.3769
0.1675 0.0000 0.7995
0.1771 0.0000 0.1274
0.2500 0.0000 0.5333
0.2500 0.5000 0.9562
0.3229 0.0000 0.1274
0.3325 0.0000 0.7995
0.3648 0.0000 0.3769
0.3722 0.5000 0.5869
0.4344 0.5000 0.1761
0.4805 0.0000 0.6677
0.5000 0.0000 0.0000
0.5195 0.0000 0.3323
0.5656 0.5000 0.8239
0.6278 0.5000 0.4131
0.6352 0.0000 0.6231
0.6675 0.0000 0.2005
0.6771 0.0000 0.8726
0.7500 0.0000 0.4667
0.7500 0.5000 0.0438
0.8229 0.0000 0.8726
0.8325 0.0000 0.2005
0.8648 0.0000 0.6231
0.8722 0.5000 0.4131
0.9344 0.5000 0.8239
0.9805 0.0000 0.3323
0.2500 0.5000 0.3011
0.7500 0.5000 0.6989
```